# TlCrP2

An optimized crystal structure of TlCrP2 (PBE, Alexandria).

## Properties
* DOS at the Fermi energy: 2.1 states/eV/cell
* polymorph energy (0 for the lowest one): 150.2 meV/atom

Unit cell a=4.215 b=3.660 c=5.555 alpha=78.26 beta=90.00 gamma=90.00
Sites, in units of the cell vectors:
Cr 0.500 0.750 0.750
Tl 0.500 0.250 0.250
P 0.000 0.523 0.615
P 0.000 0.977 0.885